VASP calculation (GGA-PBE) on an optimized crystal structure of Ag2HgMo.

Structure (POSCAR):
```
Ag2HgMo
1.0
9.933 -0.014 -0.008
9.507 2.877 -0.008
9.507 1.400 2.513
Hg Ag Mo
1 2 1
Cartesian
14.439 2.126 1.245 Hg
7.307 1.076 0.630 Ag
0.031 0.005 0.003 Ag
21.644 3.187 1.867 Mo
```

Summary:
DOS at the Fermi energy   0.885 states/eV per atom
Total moment   0.00 μB per cell
ΔE_f   0.416 eV per atom
Calculated total energy   -3.793 eV per atom
Calculated volume   72.4 Å³/f.u.
Theoretical density   11.75 g/cm3